(a)
ScNbAsO | PBE | relaxed

Space-group type: P4/nmm

Cell: 3.698 3.698 8.691 Å, 90.00 90.00 90.00°
Sites, in units of the cell vectors:
1 O 0.250 0.750 0.000
2 O 0.750 0.250 0.000
3 Sc 0.750 0.250 0.500
4 Sc 0.250 0.750 0.500
5 As 0.250 0.250 0.730
6 As 0.750 0.750 0.270
7 Nb 0.250 0.250 0.145
8 Nb 0.750 0.750 0.855

(b)
ScNbAsO | PBE | relaxed

Space-group type: Pmc2_1

Cell: 3.561 6.010 6.365 Å, 90.00 90.00 90.00°
Sites, in units of the cell vectors:
1 Sc 0.000 0.623 0.426
2 Sc 0.000 0.377 0.926
3 As 0.000 0.805 0.820
4 As 0.000 0.195 0.320
5 Nb 0.500 0.927 0.103
6 Nb 0.500 0.073 0.603
7 O 0.500 0.226 0.905
8 O 0.500 0.774 0.405

Q: Which of them is the most stable? A: (b).

(a)
NbSnAsO | PBE | relaxed

Space-group type: P4/nmm

Cell: 4.134 4.134 9.023 Å, 90.00 90.00 90.00°
Sites, in units of the cell vectors:
1 Sn 0.750 0.250 0.500
2 Sn 0.250 0.750 0.500
3 Nb 0.750 0.750 0.934
4 Nb 0.250 0.250 0.066
5 As 0.750 0.750 0.235
6 As 0.250 0.250 0.765
7 O 0.250 0.750 0.000
8 O 0.750 0.250 0.000

(b)
NbSnAsO | PBE | relaxed

Space-group type: P4/nmm

Cell: 4.084 4.084 9.359 Å, 90.00 90.00 90.00°
Site moments in Bohr magnetons follow the coordinates.
Sites, in units of the cell vectors:
1 Nb 0.000 0.000 0.500  0.09
2 Nb 0.500 0.500 0.500  0.09
3 Sn 0.000 0.500 0.886  0.02
4 Sn 0.500 0.000 0.114  0.02
5 O 0.000 0.000 0.000  0.01
6 O 0.500 0.500 0.000  0.01
7 As 0.000 0.500 0.323  0.00
8 As 0.500 0.000 0.677  0.00

Q: Which of them is the most stable? A: (b).

(a)
NbSnAsO | PBE | relaxed

Space-group type: Pmc2_1

Cell: 3.867 8.081 5.307 Å, 90.00 90.00 90.00°
Sites, in units of the cell vectors:
1 Sn 0.500 0.571 0.465
2 Sn 0.500 0.429 0.965
3 O 0.500 0.174 0.431
4 O 0.500 0.826 0.931
5 Nb 0.000 0.869 0.930
6 Nb 0.000 0.131 0.430
7 As 0.000 0.189 0.928
8 As 0.000 0.811 0.428

(b)
NbSnAsO | PBE | relaxed

Space-group type: Pmc2_1

Cell: 3.423 6.678 7.515 Å, 90.00 90.00 90.00°
Sites, in units of the cell vectors:
1 As 0.000 0.336 0.427
2 As 0.000 0.664 0.927
3 Sn 0.000 0.701 0.568
4 Sn 0.000 0.299 0.068
5 Nb 0.500 0.946 0.003
6 Nb 0.500 0.054 0.503
7 O 0.500 0.932 0.255
8 O 0.500 0.068 0.755

Q: Which of them is the most stable? A: (b).

(a)
TbNbAsO | PBE | relaxed

Space-group type: P4/nmm

Cell: 4.140 4.140 7.943 Å, 90.00 90.00 90.00°
Sites, in units of the cell vectors:
1 Tb 0.000 0.000 0.500
2 Tb 0.500 0.500 0.500
3 As 0.000 0.500 0.245
4 As 0.500 0.000 0.755
5 Nb 0.500 0.000 0.105
6 Nb 0.000 0.500 0.895
7 O 0.500 0.500 0.000
8 O 0.000 0.000 0.000

(b)
TbNbAsO | PBE | relaxed

Space-group type: Pmc2_1

Cell: 4.181 4.947 6.738 Å, 90.00 90.00 90.00°
Sites, in units of the cell vectors:
1 Nb 0.000 0.634 0.938
2 Nb 0.000 0.366 0.438
3 Tb 0.500 0.184 0.095
4 Tb 0.500 0.816 0.595
5 O 0.500 0.373 0.431
6 O 0.500 0.627 0.931
7 As 0.000 0.861 0.290
8 As 0.000 0.139 0.790

Q: Which of them is the most stable? A: (b).

(a)
TbNbAsO | PBE | relaxed

Space-group type: P4/nmm

Cell: 3.968 3.968 9.051 Å, 90.00 90.00 90.00°
Sites, in units of the cell vectors:
1 O 0.500 0.500 0.000
2 O 0.000 0.000 0.000
3 Tb 0.000 0.500 0.878
4 Tb 0.500 0.000 0.122
5 As 0.500 0.000 0.698
6 As 0.000 0.500 0.302
7 Nb 0.500 0.500 0.500
8 Nb 0.000 0.000 0.500

(b)
TbNbAsO | PBE | relaxed

Space-group type: Pmc2_1

Cell: 4.107 6.848 5.944 Å, 90.00 90.00 90.00°
Site moments in Bohr magnetons follow the coordinates.
Sites, in units of the cell vectors:
1 O 0.500 0.174 0.866  0.01
2 O 0.500 0.826 0.366  0.01
3 Tb 0.000 0.292 0.934  0.00
4 Tb 0.000 0.708 0.434  0.00
5 Nb 0.500 0.906 0.032  0.18
6 Nb 0.500 0.094 0.532  0.19
7 As 0.000 0.294 0.421  0.00
8 As 0.000 0.706 0.921  0.00

Q: Which of them is the most stable? A: (a).

(a)
NbTcAsO | PBE | relaxed

Space-group type: Pmc2_1

Cell: 4.069 5.469 5.321 Å, 90.00 90.00 90.00°
Sites, in units of the cell vectors:
1 As 0.000 0.763 0.874
2 As 0.000 0.237 0.374
3 Nb 0.500 0.003 0.625
4 Nb 0.500 0.997 0.125
5 Tc 0.000 0.306 0.874
6 Tc 0.000 0.694 0.374
7 O 0.500 0.315 0.881
8 O 0.500 0.685 0.381

(b)
NbTcAsO | PBE | relaxed

Space-group type: Pmc2_1

Cell: 4.109 5.497 5.260 Å, 90.00 90.00 90.00°
Site moments in Bohr magnetons follow the coordinates.
Sites, in units of the cell vectors:
1 As 0.000 0.217 0.377  -0.01
2 As 0.000 0.783 0.877  -0.01
3 O 0.500 0.309 0.877  0.00
4 O 0.500 0.691 0.377  0.00
5 Nb 0.000 0.298 0.877  0.02
6 Nb 0.000 0.702 0.377  0.02
7 Tc 0.500 0.003 0.624  0.20
8 Tc 0.500 0.997 0.124  0.19

Q: Which of them is the most stable? A: (b).

(a)
NbTcAsO | PBE | relaxed

Space-group type: P4/nmm

Cell: 3.849 3.849 7.398 Å, 90.00 90.00 90.00°
Sites, in units of the cell vectors:
1 O 0.000 0.000 0.000
2 O 0.500 0.500 0.000
3 As 0.000 0.500 0.239
4 As 0.500 0.000 0.761
5 Tc 0.000 0.500 0.836
6 Tc 0.500 0.000 0.164
7 Nb 0.500 0.500 0.500
8 Nb 0.000 0.000 0.500

(b)
NbTcAsO | PBE | relaxed

Space-group type: P4/nmm

Cell: 3.719 3.719 8.037 Å, 90.00 90.00 90.00°
Sites, in units of the cell vectors:
1 Tc 0.250 0.750 0.500
2 Tc 0.750 0.250 0.500
3 As 0.250 0.250 0.713
4 As 0.750 0.750 0.287
5 O 0.250 0.750 0.000
6 O 0.750 0.250 0.000
7 Nb 0.750 0.750 0.841
8 Nb 0.250 0.250 0.159

Q: Which of them is the most stable? A: (b).

(a)
NbTeAsO | PBE | relaxed

Space-group type: Pmc2_1

Cell: 3.352 8.718 6.052 Å, 90.00 90.00 90.00°
Sites, in units of the cell vectors:
1 As 0.000 0.444 0.276
2 As 0.000 0.556 0.776
3 Te 0.500 0.237 0.537
4 Te 0.500 0.763 0.037
5 Nb 0.000 0.727 0.426
6 Nb 0.000 0.273 0.926
7 O 0.500 0.171 0.015
8 O 0.500 0.829 0.515

(b)
NbTeAsO | PBE | relaxed

Space-group type: P4/nmm

Cell: 3.936 3.936 9.070 Å, 90.00 90.00 90.00°
Sites, in units of the cell vectors:
1 Nb 0.250 0.750 0.500
2 Nb 0.750 0.250 0.500
3 As 0.750 0.750 0.292
4 As 0.250 0.250 0.708
5 O 0.250 0.750 0.000
6 O 0.750 0.250 0.000
7 Te 0.250 0.250 0.139
8 Te 0.750 0.750 0.861

Q: Which of them is the most stable? A: (a).

(a)
TmNbAsO | PBE | relaxed

Space-group type: Pmc2_1

Cell: 4.170 5.019 6.510 Å, 90.00 90.00 90.00°
Sites, in units of the cell vectors:
1 As 0.000 0.627 0.290
2 As 0.000 0.373 0.790
3 Nb 0.000 0.879 0.938
4 Nb 0.000 0.121 0.438
5 O 0.500 0.107 0.427
6 O 0.500 0.893 0.927
7 Tm 0.500 0.698 0.599
8 Tm 0.500 0.302 0.099

(b)
TmNbAsO | PBE | relaxed

Space-group type: P4/nmm

Cell: 4.050 4.050 8.012 Å, 90.00 90.00 90.00°
Sites, in units of the cell vectors:
1 Nb 0.750 0.750 0.880
2 Nb 0.250 0.250 0.120
3 Tm 0.250 0.750 0.500
4 Tm 0.750 0.250 0.500
5 O 0.750 0.250 0.000
6 O 0.250 0.750 0.000
7 As 0.750 0.750 0.251
8 As 0.250 0.250 0.749

(c)
TmNbAsO | PBE | relaxed

Space-group type: Pmc2_1

Cell: 5.651 3.764 7.375 Å, 90.00 90.03 90.00°
Sites, in units of the cell vectors:
1 Tm 0.533 0.000 0.275
2 Tm 0.033 0.000 0.725
3 O 0.652 0.500 0.174
4 O 0.152 0.500 0.827
5 Nb 0.517 0.500 0.906
6 Nb 0.017 0.500 0.094
7 As 0.045 0.000 0.339
8 As 0.544 0.000 0.661

(d)
TmNbAsO | PBE | relaxed

Space-group type: P4/nmm

Cell: 3.931 3.931 8.919 Å, 90.00 90.00 90.00°
Sites, in units of the cell vectors:
1 Nb 0.500 0.500 0.500
2 Nb 0.000 0.000 0.500
3 As 0.000 0.500 0.297
4 As 0.500 0.000 0.703
5 Tm 0.000 0.500 0.882
6 Tm 0.500 0.000 0.118
7 O 0.000 0.000 0.000
8 O 0.500 0.500 0.000

Q: Which of them is the most stable? A: (d).

(a)
YNbAsO | PBE | relaxed

Space-group type: Pmc2_1

Cell: 4.173 4.969 6.697 Å, 90.00 90.00 90.00°
Sites, in units of the cell vectors:
1 O 0.500 0.377 0.931
2 O 0.500 0.623 0.431
3 Y 0.500 0.814 0.095
4 Y 0.500 0.186 0.595
5 As 0.000 0.863 0.790
6 As 0.000 0.137 0.290
7 Nb 0.000 0.630 0.438
8 Nb 0.000 0.370 0.938

(b)
YNbAsO | PBE | relaxed

Space-group type: P4/nmm

Cell: 4.167 4.167 7.829 Å, 90.00 90.00 90.00°
Site moments in Bohr magnetons follow the coordinates.
Sites, in units of the cell vectors:
1 O 0.500 0.500 0.000  0.00
2 O 0.000 0.000 0.000  0.00
3 As 0.500 0.000 0.753  -0.01
4 As 0.000 0.500 0.247  -0.01
5 Y 0.500 0.500 0.500  0.10
6 Y 0.000 0.000 0.500  0.10
7 Nb 0.000 0.500 0.895  0.10
8 Nb 0.500 0.000 0.105  0.09

(c)
YNbAsO | PBE | relaxed

Space-group type: Pmc2_1

Cell: 3.834 7.378 5.743 Å, 90.00 90.00 90.00°
Sites, in units of the cell vectors:
1 O 0.500 0.832 0.342
2 O 0.500 0.168 0.842
3 Nb 0.500 0.095 0.486
4 Nb 0.500 0.905 0.986
5 Y 0.000 0.274 0.969
6 Y 0.000 0.726 0.469
7 As 0.000 0.334 0.457
8 As 0.000 0.666 0.957

Q: Which of them is the most stable? A: (a).